[1]
The following is a DFT calculation (GGA-PBE) of LaRe2W after structural relaxation.

a = 3.065 Å, b = 5.070 Å, c = 9.824 Å
α = 90.00°, β = 90.00°, γ = 90.00°
Sites, in units of the cell vectors:
La  0.000  0.000  0.000
La  0.500  0.500  0.500
Re  0.000  0.000  0.504
Re  0.000  0.500  0.220
Re  0.500  0.000  0.720
Re  0.500  0.500  0.004
W  0.000  0.500  0.784
W  0.500  0.000  0.284

Summary:
Formation energy ... 0.659 eV per atom
Crystal system ... orthorhombic
Symmetry ... Imm2
Magnetization ... 0.00 μB/f.u.


[2]
The following is a DFT calculation (GGA-PBE) of Nb2AlPd9 after structural relaxation.

a = 3.953 Å, b = 3.953 Å, c = 11.881 Å
α = 90.00°, β = 90.00°, γ = 90.00°
Sites, in units of the cell vectors:
Nb  0.000  0.000  0.173
Nb  0.000  0.000  0.827
Al  0.000  0.000  0.500
Pd  0.000  0.500  0.000
Pd  0.000  0.500  0.334
Pd  0.000  0.500  0.666
Pd  0.500  0.000  0.000
Pd  0.500  0.000  0.334
Pd  0.500  0.000  0.666
Pd  0.500  0.500  0.166
Pd  0.500  0.500  0.500
Pd  0.500  0.500  0.834

Summary:
Formation energy ... -0.464 eV per atom
Crystal system ... tetragonal
Symmetry ... P4/mmm
Magnetization ... 0.00 μB/f.u.


[3]
The following is a DFT calculation (GGA-PBE) of GaCuTe after structural relaxation.

a = 4.136 Å, b = 4.137 Å, c = 9.834 Å
α = 89.77°, β = 89.59°, γ = 60.01°
Sites, in units of the cell vectors:
Ga  0.000  0.000  0.000
Ga  0.337  0.334  0.767
Cu  0.333  0.333  0.011
Cu  0.664  0.667  0.144
Te  0.329  0.333  0.268
Te  0.673  0.668  0.633

Summary:
Crystal system ... triclinic
Raw formation energy ... -142 meV/atom
Symmetry ... P1
Magnetization ... 0.00 μB/f.u.


[4]
The following is a DFT calculation (GGA-PBE) of Ho2Be3CuNi12 after structural relaxation.

a = 6.136 Å, b = 6.136 Å, c = 6.136 Å
α = 85.46°, β = 85.46°, γ = 85.46°
Sites, in units of the cell vectors:
Ho  0.205  0.205  0.205
Ho  0.795  0.795  0.795
Be  0.000  0.500  0.500
Be  0.500  0.000  0.500
Be  0.500  0.500  0.000
Cu  0.500  0.500  0.500
Ni  0.097  0.097  0.631
Ni  0.097  0.631  0.097
Ni  0.201  0.686  0.686
Ni  0.314  0.314  0.799
Ni  0.314  0.799  0.314
Ni  0.369  0.903  0.903
Ni  0.631  0.097  0.097
Ni  0.686  0.201  0.686
Ni  0.686  0.686  0.201
Ni  0.799  0.314  0.314
Ni  0.903  0.369  0.903
Ni  0.903  0.903  0.369

Summary:
Formation energy ... 0.010 eV per atom
Crystal system ... trigonal
Symmetry ... R-3m
Magnetization ... 0.00 μB/f.u.


> Which value of magnetization does entry 4 give?

0.00 μB/f.u.